# Ba2CdPb

Crystalline Ba2CdPb at its relaxed geometry (PBE-GGA, OQMD).

Unit cell a=8.4615 b=6.0570 c=12.1388 alpha=90.00 beta=90.00 gamma=90.00
Closest atoms and distances in Å follow each position.
Fractional positions:
Cd1 0.2499 0.7500 0.8820  8 Ba 3.67-3.73
Ba1 0.9999 0.7500 0.6293  4 Cd 3.67-3.73, 4 Pb 3.68-3.72
Pb1 0.2500 0.2500 0.1190  8 Ba 3.68-3.72
Ba2 0.5001 0.7500 0.6293  4 Cd 3.67-3.73, 4 Pb 3.68-3.72
Ba3 0.5001 0.7500 0.1293  4 Cd 3.67-3.73, 4 Pb 3.68-3.72
Cd2 0.7501 0.2500 0.1180  8 Ba 3.67-3.73
Pb2 0.7500 0.7500 0.3810  8 Ba 3.68-3.72
Cd3 0.2501 0.7500 0.3820  8 Ba 3.67-3.73
Ba4 0.0000 0.2500 0.8707  4 Cd 3.67-3.73, 4 Pb 3.68-3.72
Pb3 0.7500 0.7500 0.8810  8 Ba 3.68-3.72
Ba5 0.4999 0.2500 0.3707  4 Cd 3.67-3.73, 4 Pb 3.68-3.72
Ba6 0.4999 0.2500 0.8707  4 Cd 3.67-3.73, 4 Pb 3.68-3.72
Pb4 0.2500 0.2500 0.6190  8 Ba 3.68-3.72
Cd4 0.7499 0.2500 0.6180  8 Ba 3.67-3.73
Ba7 0.0001 0.2500 0.3707  4 Cd 3.67-3.73, 4 Pb 3.68-3.72
Ba8 0.0000 0.7500 0.1293  4 Cd 3.67-3.73, 4 Pb 3.68-3.72

Computed properties:
polymorph energy (0 for the lowest one)	1	meV per atom